Arrangement 1

CePaGa: relaxed, GGA-PBE.

The calculation puts the total magnetization at 1.480 μB/f.u.

The space group is I4mm (No. 107) and the conventional cell measures 3.811, 3.811 and 9.552 Å, with angles of 90.00, 90.00 and 90.00 degrees. The asymmetric unit holds Ce at (0.000, 0.000, 0.000), Pa at (0.000, 0.000, 0.343) and Ga at (0.000, 0.000, 0.673).

Arrangement 2

CePaGa: relaxed, GGA-PBE.

The calculation puts the total magnetization at 0.001 μB/f.u.

The space group is P-6m2 (No. 187) and the conventional cell measures 5.0387, 5.0387 and 2.9357 Å, with angles of 90.00, 90.00 and 120.00 degrees. The asymmetric unit holds Ce at (0.0000, 0.0000, 0.0000), Pa at (0.6667, 0.3333, 0.0000) and Ga at (0.3333, 0.6667, 0.5000).

Arrangement 3

CePaGa: relaxed, GGA-PBE.

The calculation puts the total magnetization at 0.001 μB/f.u.

The space group is Pmmn (No. 59, origin choice 2) and the conventional cell measures 3.007, 5.098 and 9.088 Å, with angles of 90.00, 90.00 and 90.00 degrees. The asymmetric unit holds Ce at (0.250, 0.250, 0.111), Pa at (0.250, 0.750, 0.252) and Ga at (0.250, 0.250, 0.449).

Relative energies, unit kJ/mol of atoms: arrangement 1 3.0; arrangement 2 0.0; arrangement 3 22.8

Arrangement 1

Ce5Ga2Pb: relaxed, GGA-PBE.

The calculation puts the total magnetization at 5.485 μB/f.u.

The space group is I4/mcm (No. 140) and the conventional cell measures 8.202, 8.202 and 13.074 Å, with angles of 90.00, 90.00 and 90.00 degrees. The asymmetric unit holds Ce at (0.000, 0.000, 0.000), Ce at (0.172, 0.328, 0.151), Ga at (0.123, 0.377, 0.500) and Pb at (0.000, 0.000, 0.250).

Arrangement 2

Ce5Ga2Pb: relaxed, GGA-PBE.

The calculation puts the total magnetization at 3.670 μB/f.u.

The space group is Cmcm (No. 63) and the conventional cell measures 5.137, 9.878 and 17.187 Å, with angles of 90.00, 90.00 and 90.00 degrees. The asymmetric unit holds Ce at (0.000, 0.063, 0.068), Ce at (0.000, 0.271, 0.750), Ce at (0.000, 0.415, 0.101), Ga at (0.000, 0.266, 0.571) and Pb at (0.000, 0.046, 0.250).

Relative energies, unit kJ/mol of atoms: arrangement 1 0.0; arrangement 2 3.4

Arrangement 1

Ce2GaPb: relaxed, GGA-PBE.

The calculation puts the total magnetization at 1.200 μB/f.u.

The space group is P4/mmm (No. 123) and the conventional cell measures 3.406, 3.406 and 8.961 Å, with angles of 90.00, 90.00 and 90.00 degrees. The asymmetric unit holds Ce at (0.000, 0.000, 0.225), Ga at (0.500, 0.500, 0.000) and Pb at (0.500, 0.500, 0.500).

Arrangement 2

Ce2GaPb: relaxed, GGA-PBE.

The calculation puts the total magnetization at 1.685 μB/f.u.

The space group is P4/mmm (No. 123) and the conventional cell measures 4.828, 4.828 and 4.505 Å, with angles of 90.00, 90.00 and 90.00 degrees. The asymmetric unit holds Ce at (0.000, 0.500, 0.000), Ga at (0.000, 0.000, 0.500) and Pb at (0.500, 0.500, 0.500).

Arrangement 3

Ce2GaPb: relaxed, GGA-PBE.

The calculation puts the total magnetization at 2.475 μB/f.u.

The space group is Cmcm (No. 63) and the conventional cell measures 9.633, 7.828 and 5.612 Å, with angles of 90.00, 90.00 and 90.00 degrees. The asymmetric unit holds Ce at (0.195, 0.192, 0.250), Ga at (0.000, 0.500, 0.000) and Pb at (0.000, 0.153, 0.750).

Arrangement 4

Ce2GaPb: relaxed, GGA-PBE.

The calculation puts the total magnetization at 2.330 μB/f.u.

The space group is Fm-3m (No. 225) and the conventional cell measures 7.611, 7.611 and 7.611 Å, with angles of 90.00, 90.00 and 90.00 degrees. The asymmetric unit holds Ce at (0.250, 0.250, 0.250), Ga at (0.000, 0.000, 0.000) and Pb at (0.000, 0.000, 0.500).

Relative energies, unit kJ/mol of atoms: arrangement 1 0.0; arrangement 2 3.5; arrangement 3 10.7; arrangement 4 9.4

Arrangement 1

Ce2GaPd6: relaxed, GGA-PBE.

The calculation puts the total magnetization at 1.431 μB/f.u.

The space group is P-3m1 (No. 164) and the conventional cell measures 5.7395, 5.7395 and 5.9188 Å, with angles of 90.00, 90.00 and 120.00 degrees. The asymmetric unit holds Ce at (0.3333, 0.6667, 0.1967), Ga at (0.0000, 0.0000, 0.0000) and Pd at (0.1724, 0.3448, 0.6900).

Arrangement 2

Ce2GaPd6: relaxed, GGA-PBE.

The calculation puts the total magnetization at 1.488 μB/f.u.

The space group is C2/m (No. 12) and the conventional cell measures 9.794, 5.723 and 6.197 Å, with angles of 90.00, 103.47 and 90.00 degrees. The asymmetric unit holds Ce at (0.143, 0.000, 0.327), Ga at (0.000, 0.500, 0.500), Pd at (0.127, 0.242, 0.819) and Pd at (0.131, 0.500, 0.201).

Relative energies, unit kJ/mol of atoms: arrangement 1 0.0; arrangement 2 2.0

Arrangement 1

Ce3Ga2Pd3: relaxed, GGA-PBE.

The calculation puts the total magnetization at 2.454 μB/f.u.

The space group is Pnma (No. 62) and the conventional cell measures 7.864, 15.428 and 5.769 Å, with angles of 90.00, 90.00 and 90.00 degrees. The asymmetric unit holds Ce at (0.037, 0.106, 0.149), Ce at (0.168, 0.250, 0.619), Ga at (0.116, 0.607, 0.348), Pd at (0.176, 0.033, 0.584) and Pd at (0.191, 0.750, 0.613).

Arrangement 2

Ce3Ga2Pd3: relaxed, GGA-PBE.

The calculation puts the total magnetization at 2.600 μB/f.u.

The space group is Cmcm (No. 63) and the conventional cell measures 4.426, 11.126 and 14.068 Å, with angles of 90.00, 90.00 and 90.00 degrees. The asymmetric unit holds Ce at (0.000, 0.079, 0.107), Ce at (0.000, 0.359, 0.250), Ga at (0.000, 0.216, 0.592), Pd at (0.000, 0.344, 0.750) and Pd at (0.000, 0.388, 0.045).

Relative energies, unit kJ/mol of atoms: arrangement 1 1.0; arrangement 2 0.0

Arrangement 1

Ce2Ga3Pd2: relaxed, GGA-PBE.

The calculation puts the total magnetization at 1.229 μB/f.u.

The space group is C2/m (No. 12) and the conventional cell measures 10.146, 4.458 and 6.689 Å, with angles of 90.00, 112.86 and 90.00 degrees. The asymmetric unit holds Ce at (0.151, 0.000, 0.275), Ga at (0.000, 0.500, 0.500), Ga at (0.110, 0.500, 0.934) and Pd at (0.139, 0.000, 0.728).

Arrangement 2

Ce2Ga3Pd2: relaxed, GGA-PBE.

The calculation puts the total magnetization at 0.560 μB/f.u.

The space group is Cmcm (No. 63) and the conventional cell measures 4.206, 18.776 and 7.228 Å, with angles of 90.00, 90.00 and 90.00 degrees. The asymmetric unit holds Ce at (0.000, 0.058, 0.250), Ce at (0.000, 0.159, 0.750), Ga at (0.000, 0.222, 0.250), Ga at (0.000, 0.440, 0.074) and Pd at (0.000, 0.308, 0.547).

Relative energies, unit kJ/mol of atoms: arrangement 1 1.8; arrangement 2 0.0